Record 1
A plane-wave DFT calculation with PBE-GGA was carried out for BePtS after structural relaxation.

Cell and atoms, written as extended XYZ:
```
6
Lattice="3.451 0.000 0.000 0.005 3.622 0.000 1.094 0.000 7.284" Properties=species:S:1:pos:R:3 pbc="T T T"
Be 0.000 0.000 0.000
Be 1.220 1.797 3.049
Pt 2.877 1.809 4.575
Pt 3.029 3.620 2.650
S 0.333 1.810 1.108
S 2.846 3.621 6.102
```

E_form (uncorrected) = -507 meV per atom
SG = P1 (1)
Uncorrected energy = -0.1888 Ha/atom
Total magnetic moment = 0.00 μB per cell

Record 2
A plane-wave DFT calculation with PBE-GGA was carried out for BePtS after structural relaxation.

Cell and atoms, written as extended XYZ:
```
6
Lattice="3.684 0.000 0.000 1.832 3.884 0.000 1.832 -0.313 6.216" Properties=species:S:1:pos:R:3 pbc="T T T"
Be 0.000 0.000 0.000
Be 1.849 0.888 3.292
Pt 1.842 1.371 0.850
Pt 5.515 2.037 5.430
S 3.674 2.850 4.170
S 3.685 0.364 2.145
```

E_form (uncorrected) = -405 meV per atom
SG = P1 (1)
Uncorrected energy = -0.1851 Ha/atom
Total magnetic moment = 0.00 μB per cell

Record 3
A plane-wave DFT calculation with PBE-GGA was carried out for Be3PtS after structural relaxation.

Cell and atoms, written as extended XYZ:
```
5
Lattice="4.294 0.000 0.000 0.000 4.294 0.000 0.000 0.000 4.294" Properties=species:S:1:pos:R:3 pbc="T T T"
Be 0.000 0.000 2.147
Be 0.000 2.147 0.000
Be 2.147 0.000 0.000
Pt 0.000 0.000 0.000
S 2.147 2.147 2.147
```

E_form (uncorrected) = 402 meV per atom
E above lowest polymorph = 0.017 eV per atom
SG = Pm-3m (221)
Uncorrected energy = -0.1421 Ha/atom
Total magnetic moment = 0.00 μB per cell